Li2CrH4O6, optimized geometry, DFT GGA+U; Fermi-level density of states = 0.00 states/eV/cell; total moment = 0.222 Bohr magnetons per cell; DFT total energy = -72.64 eV/f.u.
1.0
-4.979 -0.307 2.569
-3.552 -0.430 -6.936
0.892 -12.044 0.290
Li Cr H O
8 4 16 24
Direct
0.176 0.139 0.871
0.676 0.361 0.129
0.824 0.639 0.629
0.324 0.861 0.371
0.084 0.201 0.502
0.584 0.299 0.498
0.916 0.701 0.998
0.416 0.799 0.002
0.176 0.119 0.135
0.676 0.381 0.865
0.824 0.619 0.365
0.324 0.881 0.635
0.263 0.483 0.615
0.763 0.017 0.385
0.737 0.983 0.885
0.237 0.517 0.115
0.328 0.327 0.689
0.828 0.173 0.311
0.672 0.827 0.811
0.172 0.673 0.189
0.333 0.300 0.311
0.833 0.200 0.689
0.667 0.800 0.189
0.167 0.700 0.811
0.251 0.456 0.380
0.751 0.044 0.620
0.749 0.956 0.120
0.249 0.544 0.880
0.301 0.359 0.611
0.801 0.141 0.389
0.699 0.859 0.889
0.199 0.641 0.111
0.302 0.335 0.388
0.802 0.165 0.612
0.698 0.835 0.112
0.198 0.665 0.888
0.330 0.303 0.144
0.830 0.197 0.856
0.670 0.803 0.356
0.170 0.697 0.644
0.383 0.341 0.851
0.883 0.159 0.149
0.617 0.841 0.649
0.117 0.659 0.351
0.227 0.022 0.014
0.727 0.478 0.986
0.773 0.522 0.486
0.273 0.978 0.514
0.239 0.006 0.737
0.739 0.494 0.263
0.761 0.506 0.763
0.261 0.994 0.237